Entry from Alexandria via LeMat-Bulk: a relaxed La2Dy6Y3 crystal (GGA-PBE).

Values from the calculation:
ΔE_f: 0.18 eV/atom
Total magnetic moment: 0.00 Bohr magnetons per cell
Calculated density: 6.632 g/cm³
Fermi-level density of states: 1.6853 states/eV per atom

Geometry as CIF:
```
data_La2Dy6Y3
_chemical_formula_sum 'La4 Dy12 Y6'
_space_group_name_H-M_alt 'C 1 2/m 1'
_space_group_IT_number 12
_space_group_name_Hall '-C 2y'
_cell_length_a 6.186
_cell_length_b 10.562
_cell_length_c 11.782
_cell_angle_alpha 90.00
_cell_angle_beta 98.69
_cell_angle_gamma 90.00
loop_
_atom_site_label
_atom_site_type_symbol
_atom_site_fract_x
_atom_site_fract_y
_atom_site_fract_z
La1 La 0.000 0.175 0.000
Dy1 Dy 0.240 0.167 0.744
Dy2 Dy 0.240 0.500 0.748
Y1 Y 0.000 0.000 0.500
Y2 Y 0.000 0.335 0.500
```